4
Lattice="3.032 0.000 0.000 0.000 3.032 0.000 0.000 0.000 5.732" Properties=species:S:1:pos:R:3 comment="NbGaFe2 (PBE, optimized geometry)" rho_g_cm3=8.64 space_group=P4/mmm volume_a3_per_atom=13.2 crystal_system=tetragonal dft_energy_ev_per_cell=-30.39 magmom_total_mub_per_cell=0.123 pbc="T T T"
Nb 0.000 0.000 0.000
Ga 0.000 0.000 2.866
Fe 1.516 1.516 1.457
Fe 1.516 1.516 4.275